No. 1
The following is a DFT calculation (PBE) of a geometry-optimized Sm2Ho2BrNCl4 structure.

DFT total energy: -108.059 eV for the cell shown
ρ: 5983 kg/m³

Unit cell a=16.993 b=3.687 c=7.949 alpha=90.00 beta=105.09 gamma=90.00
Space group C2/m (No. 12)
Symmetry-distinct sites (fractional):
Sm: 0.147 0.000 0.084 x4
Ho: 0.001 0.500 0.800 x4
Br: 0.000 0.000 0.500 x2
N: 0.000 0.000 0.000 x2
Cl: 0.161 0.500 0.351 x4
Cl: 0.167 0.500 0.829 x4

No. 2
The following is a DFT calculation (PBE) of a geometry-optimized SmHoBrNCl2 structure.

Relative energy among the computed polymorphs: 0.000 eV/atom
ρ: 5179 kg/m³

Unit cell a=16.674 b=3.907 c=11.015 alpha=90.00 beta=120.89 gamma=90.00
Space group C2/m (No. 12)
Symmetry-distinct sites (fractional):
Sm: 0.135 0.000 0.286 x4
Ho: 0.082 0.500 0.956 x4
Br: 0.158 0.500 0.518 x4
N: 0.073 0.500 0.151 x4
Cl: 0.050 0.000 0.762 x4
Cl: 0.213 0.000 0.105 x4

No. 3
The following is a DFT calculation (PBE) of a geometry-optimized SmHoBrNCl2 structure.

Relative energy among the computed polymorphs: 0.007 eV/atom
ρ: 5060 kg/m³

Unit cell a=17.423 b=3.885 c=11.137 alpha=90.00 beta=123.29 gamma=90.00
Space group C2/m (No. 12)
Symmetry-distinct sites (fractional):
Sm: 0.137 0.000 0.293 x4
Ho: 0.079 0.500 0.960 x4
Br: 0.047 0.000 0.745 x4
N: 0.073 0.500 0.155 x4
Cl: 0.171 0.500 0.514 x4
Cl: 0.208 0.000 0.112 x4